(i)
First-principles (PBE) data for TbY6Se8 after structural relaxation, as listed in Alexandria.

a = 8.143 Å, b = 8.143 Å, c = 8.143 Å
α = 60.00°, β = 60.00°, γ = 60.00°
Positions (direct):
1 Tb 0.000 0.000 0.000
2 Y 0.000 0.500 0.500
3 Y 0.500 0.000 0.000
4 Y 0.500 0.500 0.000
5 Y 0.000 0.000 0.500
6 Y 0.000 0.500 0.000
7 Y 0.500 0.000 0.500
8 Se 0.750 0.750 0.750
9 Se 0.250 0.250 0.250
10 Se 0.746 0.254 0.254
11 Se 0.254 0.746 0.746
12 Se 0.254 0.254 0.746
13 Se 0.746 0.746 0.254
14 Se 0.746 0.254 0.746
15 Se 0.254 0.746 0.254



(ii)
First-principles (PBE) data for TbY6Se8 after structural relaxation, as listed in Alexandria.

a = 8.077 Å, b = 8.077 Å, c = 8.077 Å
α = 96.27°, β = 96.27°, γ = 96.27°
Positions (direct):
1 Tb 0.000 0.000 0.000
2 Y 0.625 0.442 0.808
3 Y 0.442 0.808 0.625
4 Y 0.808 0.625 0.442
5 Y 0.375 0.558 0.192
6 Y 0.558 0.192 0.375
7 Y 0.192 0.375 0.558
8 Se 0.775 0.775 0.775
9 Se 0.225 0.225 0.225
10 Se 0.596 0.852 0.320
11 Se 0.852 0.320 0.596
12 Se 0.320 0.596 0.852
13 Se 0.404 0.148 0.680
14 Se 0.148 0.680 0.404
15 Se 0.680 0.404 0.148



(i) wins, 34.6 kJ/mol of atoms ahead of the next structure.



(i)
First-principles (PBE) data for TbY3Se4 after structural relaxation, as listed in Alexandria.

a = 7.109 Å, b = 7.111 Å, c = 8.102 Å
α = 90.00°, β = 90.00°, γ = 109.30°
Positions (direct):
1 Y 0.750 0.000 0.374
2 Y 0.250 0.000 0.626
3 Y 0.750 0.500 0.625
4 Y 0.750 0.500 0.125
5 Y 0.250 0.500 0.375
6 Y 0.250 0.500 0.875
7 Tb 0.750 0.000 0.875
8 Tb 0.250 0.000 0.125
9 Se 0.000 0.250 0.625
10 Se 0.500 0.251 0.875
11 Se 0.500 0.250 0.375
12 Se 0.000 0.251 0.125
13 Se 0.000 0.749 0.875
14 Se 0.500 0.750 0.625
15 Se 0.500 0.749 0.125
16 Se 0.000 0.750 0.375



(ii)
First-principles (PBE) data for TbY3Se4 after structural relaxation, as listed in Alexandria.

a = 5.784 Å, b = 5.784 Å, c = 5.784 Å
α = 90.00°, β = 90.00°, γ = 90.00°
Positions (direct):
1 Tb 0.000 0.000 0.000
2 Y 0.000 0.500 0.500
3 Y 0.500 0.000 0.500
4 Y 0.500 0.500 0.000
5 Se 0.500 0.000 0.000
6 Se 0.000 0.500 0.000
7 Se 0.000 0.000 0.500
8 Se 0.500 0.500 0.500



(i) wins, 1.1 kJ/mol of atoms ahead of the next structure.



(i)
First-principles (PBE) data for Tb2YSe4 after structural relaxation, as listed in Alexandria.

a = 8.215 Å, b = 8.131 Å, c = 8.131 Å
α = 60.51°, β = 59.66°, γ = 59.66°
Positions (direct):
1 Tb 0.000 0.000 0.000
2 Tb 0.000 0.000 0.500
3 Tb 0.000 0.500 0.500
4 Tb 0.500 0.000 0.500
5 Y 0.500 0.500 0.000
6 Y 0.000 0.500 0.000
7 Se 0.256 0.245 0.244
8 Se 0.744 0.256 0.255
9 Se 0.256 0.744 0.745
10 Se 0.744 0.755 0.756
11 Se 0.753 0.750 0.250
12 Se 0.753 0.250 0.750
13 Se 0.247 0.750 0.250
14 Se 0.247 0.250 0.750



(ii)
First-principles (PBE) data for Tb2YSe4 after structural relaxation, as listed in Alexandria.

a = 3.977 Å, b = 7.045 Å, c = 13.846 Å
α = 90.00°, β = 90.00°, γ = 106.39°
Positions (direct):
1 Tb 0.130 0.260 0.430
2 Tb 0.870 0.740 0.930
3 Tb 0.130 0.260 0.070
4 Tb 0.870 0.740 0.570
5 Y 0.627 0.254 0.750
6 Y 0.373 0.746 0.250
7 Se 0.777 0.555 0.123
8 Se 0.777 0.555 0.377
9 Se 0.223 0.445 0.877
10 Se 0.223 0.445 0.623
11 Se 0.972 0.944 0.750
12 Se 0.028 0.056 0.250
13 Se 0.500 0.000 0.000
14 Se 0.500 0.000 0.500



(i) wins, 4.5 kJ/mol of atoms ahead of the next structure.



(i)
First-principles (PBE) data for Tb2YSe after structural relaxation, as listed in Alexandria.

a = 3.729 Å, b = 3.729 Å, c = 10.572 Å
α = 79.84°, β = 79.84°, γ = 60.00°
Site moments in Bohr magnetons follow the coordinates.
Positions (direct):
1 Y 0.000 0.000 0.000  0.25
2 Tb 0.108 0.108 0.675  0.03
3 Tb 0.892 0.892 0.325  0.03
4 Se 0.500 0.500 0.500  0.00



(ii)
First-principles (PBE) data for Tb2YSe after structural relaxation, as listed in Alexandria.

a = 3.818 Å, b = 3.818 Å, c = 9.678 Å
α = 78.63°, β = 78.63°, γ = 60.00°
Site moments in Bohr magnetons follow the coordinates.
Positions (direct):
1 Tb 0.066 0.066 0.803  0.08
2 Tb 0.268 0.268 0.196  0.03
3 Y 0.500 0.500 0.501  0.14
4 Se 0.667 0.667 0.000  0.00



(ii) wins, 25.5 kJ/mol of atoms ahead of the next structure.



(i)
First-principles (PBE) data for Tb2Y3Se6 after structural relaxation, as listed in Alexandria.

a = 7.068 Å, b = 7.045 Å, c = 7.042 Å
α = 80.36°, β = 70.50°, γ = 59.89°
Positions (direct):
1 Tb 0.165 0.670 0.500
2 Tb 0.835 0.330 0.500
3 Y 0.000 0.000 0.000
4 Y 0.335 0.331 0.000
5 Y 0.665 0.669 0.000
6 Se 0.418 0.671 0.748
7 Se 0.745 0.000 0.745
8 Se 0.089 0.329 0.748
9 Se 0.255 0.000 0.255
10 Se 0.582 0.329 0.252
11 Se 0.911 0.671 0.252



(ii)
First-principles (PBE) data for Tb2Y3Se6 after structural relaxation, as listed in Alexandria.

a = 4.126 Å, b = 4.126 Å, c = 20.262 Å
α = 84.16°, β = 84.16°, γ = 60.00°
Positions (direct):
1 Tb 0.447 0.447 0.660
2 Tb 0.553 0.553 0.340
3 Y 0.000 0.000 0.000
4 Y 0.280 0.280 0.161
5 Y 0.720 0.720 0.839
6 Se 0.082 0.082 0.753
7 Se 0.918 0.918 0.247
8 Se 0.197 0.197 0.410
9 Se 0.803 0.803 0.590
10 Se 0.361 0.361 0.918
11 Se 0.639 0.639 0.082



(i) wins, 8.8 kJ/mol of atoms ahead of the next structure.



(i)
First-principles (PBE) data for Tb3Y2Se6 after structural relaxation, as listed in Alexandria.

a = 4.123 Å, b = 4.123 Å, c = 20.307 Å
α = 84.17°, β = 84.17°, γ = 60.00°
Positions (direct):
1 Tb 0.000 0.000 0.000
2 Tb 0.280 0.280 0.161
3 Tb 0.720 0.720 0.839
4 Y 0.447 0.447 0.660
5 Y 0.553 0.553 0.340
6 Se 0.082 0.082 0.753
7 Se 0.918 0.918 0.247
8 Se 0.197 0.197 0.410
9 Se 0.803 0.803 0.590
10 Se 0.361 0.361 0.918
11 Se 0.639 0.639 0.082



(ii)
First-principles (PBE) data for Tb3Y2Se6 after structural relaxation, as listed in Alexandria.

a = 7.073 Å, b = 7.050 Å, c = 7.042 Å
α = 80.36°, β = 70.49°, γ = 59.89°
Positions (direct):
1 Tb 0.000 0.000 0.000
2 Tb 0.335 0.330 0.000
3 Tb 0.665 0.670 0.000
4 Y 0.165 0.670 0.500
5 Y 0.835 0.330 0.500
6 Se 0.418 0.671 0.747
7 Se 0.746 0.000 0.743
8 Se 0.089 0.329 0.747
9 Se 0.254 0.000 0.257
10 Se 0.582 0.329 0.253
11 Se 0.911 0.671 0.253



(ii) wins, 8.1 kJ/mol of atoms ahead of the next structure.



(i)
First-principles (PBE) data for TcSe3 after structural relaxation, as listed in Alexandria.

a = 10.065 Å, b = 10.065 Å, c = 10.065 Å
α = 17.82°, β = 17.82°, γ = 17.82°
Positions (direct):
1 Se 0.727 0.727 0.727
2 Se 0.500 0.500 0.500
3 Se 0.273 0.273 0.273
4 Tc 0.000 0.000 0.000



(ii)
First-principles (PBE) data for TcSe3 after structural relaxation, as listed in Alexandria.

a = 3.173 Å, b = 2.641 Å, c = 10.681 Å
α = 104.32°, β = 90.00°, γ = 90.00°
Positions (direct):
1 Se 0.000 0.059 0.059
2 Se 0.500 0.750 0.750
3 Se 0.000 0.441 0.441
4 Tc 0.500 0.250 0.250



(iii)
First-principles (PBE) data for TcSe3 after structural relaxation, as listed in Alexandria.

a = 5.624 Å, b = 5.856 Å, c = 10.789 Å
α = 90.00°, β = 90.00°, γ = 90.00°
Positions (direct):
1 Tc 0.560 0.945 0.750
2 Tc 0.060 0.555 0.250
3 Tc 0.940 0.445 0.750
4 Tc 0.440 0.055 0.250
5 Se 0.151 0.064 0.750
6 Se 0.651 0.436 0.250
7 Se 0.349 0.564 0.750
8 Se 0.849 0.936 0.250
9 Se 0.643 0.263 0.898
10 Se 0.143 0.237 0.102
11 Se 0.857 0.763 0.602
12 Se 0.357 0.737 0.398
13 Se 0.357 0.737 0.102
14 Se 0.857 0.763 0.898
15 Se 0.143 0.237 0.398
16 Se 0.643 0.263 0.602



(iii) wins, 4.1 kJ/mol of atoms ahead of the next structure.



(i)
First-principles (PBE) data for TcSe4 after structural relaxation, as listed in Alexandria.

a = 5.286 Å, b = 5.286 Å, c = 5.286 Å
α = 109.47°, β = 109.47°, γ = 109.47°
Site moments in Bohr magnetons follow the coordinates.
Positions (direct):
1 Tc 0.000 0.000 0.000  1.78
2 Se 0.500 0.000 0.000  0.00
3 Se 0.500 0.500 0.500  0.00
4 Se 0.000 0.500 0.000  0.00
5 Se 0.000 0.000 0.500  0.00



(ii)
First-principles (PBE) data for TcSe4 after structural relaxation, as listed in Alexandria.

a = 4.854 Å, b = 4.854 Å, c = 4.854 Å
α = 90.00°, β = 90.00°, γ = 90.00°
Positions (direct):
1 Tc 0.500 0.500 0.500
2 Se 0.000 0.000 0.000
3 Se 0.500 0.000 0.500
4 Se 0.000 0.500 0.500
5 Se 0.500 0.500 0.000



(ii) wins, 1.3 kJ/mol of atoms ahead of the next structure.